Record 1
First-principles (PBE) data for K4Ce3ZnS8 after structural relaxation, as listed in the Alexandria database.

Computed properties:
* formation energy (no corrections): -1.542 eV per atom
* total moment: 2.0 μB per formula unit
* mass density: 3.47 g/cm³
* E_tot: -5.0727 eV per atom

Cell lengths 8.164, 8.748, 8.253 Å; angles 118.14, 119.64, 90.00 degrees
Element x y z (fractional)
K: 0.500 0.000 0.000
K: 0.500 0.000 0.500
K: 0.000 0.000 0.000
K: 0.000 0.000 0.500
Ce: 0.500 0.500 0.000
Ce: 0.500 0.500 0.500
Ce: 0.000 0.500 0.500
Zn: 0.000 0.500 0.000
S: 0.222 0.695 0.969
S: 0.239 0.708 0.479
S: 0.265 0.292 0.530
S: 0.747 0.695 0.969
S: 0.253 0.305 0.031
S: 0.735 0.708 0.470
S: 0.761 0.292 0.521
S: 0.778 0.305 0.031



Record 2
First-principles (PBE) data for K3Ce2ZnS6 after structural relaxation, as listed in the Alexandria database.

Computed properties:
* formation energy (no corrections): -1.461 eV per atom
* total moment: 1.0 μB per formula unit
* mass density: 3.46 g/cm³
* E_tot: -4.8943 eV per atom

Cell lengths 7.034, 7.034, 7.711 Å; angles 98.72, 98.72, 120.04 degrees
Element x y z (fractional)
K: 0.166 0.834 0.500
K: 0.834 0.166 0.500
K: 0.500 0.500 0.500
Ce: 0.333 0.667 0.000
Ce: 0.667 0.333 0.000
Zn: 0.000 0.000 0.000
S: 0.934 0.610 0.800
S: 0.744 0.744 0.199
S: 0.066 0.390 0.200
S: 0.610 0.934 0.800
S: 0.256 0.256 0.801
S: 0.390 0.066 0.200



Record 3
First-principles (PBE) data for K3Ce3ZnS8 after structural relaxation, as listed in the Alexandria database.

Computed properties:
* formation energy (no corrections): -1.523 eV per atom
* total moment: 1.1 μB per formula unit
* mass density: 3.35 g/cm³
* E_tot: -5.2151 eV per atom

Cell lengths 8.337, 8.057, 8.676 Å; angles 116.52, 89.99, 121.13 degrees
Element x y z (fractional)
K: 0.000 0.000 0.000
K: 0.000 0.500 0.000
K: 0.500 0.500 0.000
Ce: 0.500 0.000 0.500
Ce: 0.500 0.500 0.500
Ce: 0.000 0.500 0.500
Zn: 0.000 0.000 0.500
S: 0.263 0.526 0.294
S: 0.737 0.474 0.706
S: 0.799 0.598 0.326
S: 0.201 0.402 0.674
S: 0.756 0.040 0.298
S: 0.244 0.960 0.702
S: 0.286 0.041 0.297
S: 0.714 0.959 0.703



Record 4
First-principles (PBE) data for K2CeZnS4 after structural relaxation, as listed in the Alexandria database.

Computed properties:
* formation energy (no corrections): -1.213 eV per atom
* total moment: 0.0 μB per formula unit
* mass density: 2.85 g/cm³
* E_tot: -4.4524 eV per atom

Cell lengths 6.859, 6.859, 6.859 Å; angles 96.79, 116.16, 116.16 degrees
Element x y z (fractional)
K: 0.500 0.750 0.250
K: 0.000 0.000 0.000
Ce: 0.500 0.250 0.750
Zn: 0.000 0.500 0.500
S: 0.591 0.383 0.443
S: 0.060 0.208 0.617
S: 0.940 0.557 0.148
S: 0.409 0.852 0.792



Record 5
First-principles (PBE) data for K2CeZrS4 after structural relaxation, as listed in the Alexandria database.

Computed properties:
* formation energy (no corrections): -1.617 eV per atom
* total moment: 1.7 μB per formula unit
* mass density: 3.58 g/cm³
* E_tot: -5.7656 eV per atom

Cell lengths 3.972, 6.886, 7.768 Å; angles 107.04, 90.00, 90.00 degrees
Element x y z (fractional)
K: 0.500 0.000 0.500
K: 0.000 0.500 0.500
Ce: 0.000 0.000 0.000
Zr: 0.500 0.500 0.000
S: 0.500 0.253 0.207
S: 0.500 0.747 0.793
S: 0.000 0.283 0.800
S: 0.000 0.717 0.200



Record 6
First-principles (PBE) data for KCeSb after structural relaxation, as listed in the Alexandria database.

Computed properties:
* formation energy (no corrections): -0.444 eV per atom
* total moment: 1.7 μB per formula unit
* mass density: 3.42 g/cm³
* E_tot: -4.1619 eV per atom

Cell lengths 5.081, 5.081, 13.409 Å; angles 79.08, 79.08, 60.00 degrees
Element x y z (fractional)
Ce: 0.305 0.305 0.085
Ce: 0.695 0.695 0.915
K: 0.111 0.111 0.667
K: 0.889 0.889 0.333
Sb: 0.391 0.391 0.828
Sb: 0.609 0.609 0.172



Record 7
First-principles (PBE) data for K3Ce3SbSe8 after structural relaxation, as listed in the Alexandria database.

Computed properties:
* formation energy (no corrections): -1.444 eV per atom
* total moment: 2.0 μB per formula unit
* mass density: 4.32 g/cm³
* E_tot: -4.9835 eV per atom

Cell lengths 8.614, 8.613, 9.191 Å; angles 117.94, 90.00, 120.00 degrees
Element x y z (fractional)
K: 0.000 0.000 0.000
K: 0.000 0.500 0.000
K: 0.500 0.500 0.000
Ce: 0.500 0.000 0.500
Ce: 0.500 0.500 0.500
Ce: 0.000 0.500 0.500
Sb: 0.000 0.000 0.500
Se: 0.264 0.528 0.291
Se: 0.736 0.472 0.709
Se: 0.768 0.536 0.299
Se: 0.232 0.464 0.701
Se: 0.768 0.031 0.299
Se: 0.232 0.969 0.701
Se: 0.263 0.031 0.299
Se: 0.737 0.969 0.701



Record 8
First-principles (PBE) data for K2CeSbSe4 after structural relaxation, as listed in the Alexandria database.

Computed properties:
* formation energy (no corrections): -1.188 eV per atom
* total moment: 0.9 μB per formula unit
* mass density: 4.38 g/cm³
* E_tot: -4.4615 eV per atom

Cell lengths 4.347, 7.485, 8.044 Å; angles 108.10, 90.00, 90.00 degrees
Element x y z (fractional)
K: 0.500 0.000 0.500
K: 0.000 0.500 0.500
Ce: 0.500 0.500 0.000
Sb: 0.000 0.000 0.000
Se: 0.500 0.232 0.206
Se: 0.500 0.768 0.794
Se: 0.000 0.260 0.792
Se: 0.000 0.740 0.208



What is the formula in the fourth record?
K2CeZnS4